# YThGeP PBE relaxed
# formation energy	-1.17	eV/atom
data_YThGeP
_symmetry_space_group_name_H-M 'R 3 m'
_symmetry_Int_Tables_number 160
_symmetry_space_group_name_Hall 'R 3 -2"'
_cell_length_a 4.1705
_cell_length_b 4.1705
_cell_length_c 20.2833
_cell_angle_alpha 90.00
_cell_angle_beta 90.00
_cell_angle_gamma 120.00
loop_
_atom_site_label
_atom_site_type_symbol
_atom_site_fract_x
_atom_site_fract_y
_atom_site_fract_z
Y1 Y 0.0000 0.0000 0.0000
Th1 Th 0.0000 0.0000 0.5041
Ge1 Ge 0.0000 0.0000 0.7498
P1 P 0.0000 0.0000 0.2534